(1)
# Sr4Li3Tl2, optimized geometry, DFT GGA-PBE
data_Sr4Li3Tl2
_chemical_formula_sum 'Sr8 Li6 Tl4'
_cell_length_a 18.200
_cell_length_b 4.532
_cell_length_c 7.994
_cell_angle_alpha 90.00
_cell_angle_beta 106.61
_cell_angle_gamma 90.00
_space_group_name_H-M_alt 'C 1 2/m 1'
_space_group_IT_number 12
loop_
_space_group_symop_operation_xyz
'x,y,z'
'-x,-y,-z'
'-x,y,-z'
'x,-y,z'
'x+1/2,y+1/2,z'
'-x+1/2,-y+1/2,-z'
'-x+1/2,y+1/2,-z'
'x+1/2,-y+1/2,z'
loop_
_atom_site_label
_atom_site_type_symbol
_atom_site_fract_x
_atom_site_fract_y
_atom_site_fract_z
Sr1 Sr 0.073 0.000 0.360
Sr2 Sr 0.236 0.500 0.215
Li1 Li 0.000 0.500 0.000
Li2 Li 0.094 0.500 0.725
Tl1 Tl 0.102 0.000 0.955
# Crystal system: monoclinic
# N(E_F) in states/eV/atom: 0.783
# Total magnetization in μB per formula unit: 0.00
# Energy in eV/atom: -2.088

(2)
# SrLiTl3, optimized geometry, DFT GGA-PBE
data_SrLiTl3
_chemical_formula_sum 'Sr4 Li4 Tl12'
_cell_length_a 9.704
_cell_length_b 4.747
_cell_length_c 12.277
_cell_angle_alpha 90.00
_cell_angle_beta 90.00
_cell_angle_gamma 90.00
_space_group_name_H-M_alt 'P n m a'
_space_group_IT_number 62
loop_
_space_group_symop_operation_xyz
'x,y,z'
'-x,-y,-z'
'-x+1/2,-y,z+1/2'
'x+1/2,y,-z+1/2'
'x+1/2,-y+1/2,-z+1/2'
'-x+1/2,y+1/2,z+1/2'
'-x,y+1/2,-z'
'x,-y+1/2,z'
loop_
_atom_site_label
_atom_site_type_symbol
_atom_site_fract_x
_atom_site_fract_y
_atom_site_fract_z
Sr1 Sr 0.190 0.250 0.004
Li1 Li 0.088 0.250 0.641
Tl1 Tl 0.073 0.250 0.408
Tl2 Tl 0.112 0.750 0.802
Tl3 Tl 0.139 0.750 0.214
# Crystal system: orthorhombic
# N(E_F) in states/eV/atom: 0.569
# Total magnetization in μB per formula unit: 0.00
# Energy above the most stable polymorph in this dataset in meV per atom: 0

(3)
# Sr2LiTl2, optimized geometry, DFT GGA-PBE
data_Sr2LiTl2
_chemical_formula_sum 'Sr4 Li2 Tl4'
_cell_length_a 6.609
_cell_length_b 6.609
_cell_length_c 8.583
_cell_angle_alpha 90.00
_cell_angle_beta 90.00
_cell_angle_gamma 90.00
_space_group_name_H-M_alt 'I 4/m m m'
_space_group_IT_number 139
_space_group_name_Hall '-I 4 2'
loop_
_atom_site_label
_atom_site_type_symbol
_atom_site_fract_x
_atom_site_fract_y
_atom_site_fract_z
Sr1 Sr 0.000 0.500 0.250
Li1 Li 0.000 0.000 0.000
Tl1 Tl 0.000 0.000 0.332
# Crystal system: tetragonal
# N(E_F) in states/eV/atom: 0.973
# Total magnetization in μB per formula unit: 0.00
# Energy above the most stable polymorph in this dataset in meV per atom: 193

(4)
# Sr3Li2Tl4, optimized geometry, DFT GGA-PBE
data_Sr3Li2Tl4
_chemical_formula_sum 'Sr6 Li4 Tl8'
_cell_length_a 11.864
_cell_length_b 5.132
_cell_length_c 9.847
_cell_angle_alpha 90.00
_cell_angle_beta 114.32
_cell_angle_gamma 90.00
_space_group_name_H-M_alt 'C 1 2/m 1'
_space_group_IT_number 12
loop_
_space_group_symop_operation_xyz
'x,y,z'
'-x,-y,-z'
'-x,y,-z'
'x,-y,z'
'x+1/2,y+1/2,z'
'-x+1/2,-y+1/2,-z'
'-x+1/2,y+1/2,-z'
'x+1/2,-y+1/2,z'
loop_
_atom_site_label
_atom_site_type_symbol
_atom_site_fract_x
_atom_site_fract_y
_atom_site_fract_z
Sr1 Sr 0.000 0.000 0.000
Sr2 Sr 0.177 0.500 0.648
Li1 Li 0.078 0.500 0.253
Tl1 Tl 0.033 0.000 0.364
Tl2 Tl 0.229 0.500 0.080
# Crystal system: monoclinic
# N(E_F) in states/eV/atom: 0.589
# Total magnetization in μB per formula unit: 0.00
# Energy in eV/atom: -2.365

(5)
# Sr4Li3Tl, optimized geometry, DFT GGA-PBE
data_Sr4Li3Tl
_chemical_formula_sum 'Sr4 Li3 Tl1'
_cell_length_a 4.432
_cell_length_b 5.286
_cell_length_c 12.827
_cell_angle_alpha 90.00
_cell_angle_beta 90.00
_cell_angle_gamma 90.00
_space_group_name_H-M_alt 'P m m 2'
_space_group_IT_number 25
loop_
_space_group_symop_operation_xyz
'x,y,z'
'-x,-y,z'
'-x,y,z'
'x,-y,z'
loop_
_atom_site_label
_atom_site_type_symbol
_atom_site_fract_x
_atom_site_fract_y
_atom_site_fract_z
Sr1 Sr 0.000 0.000 0.000
Sr2 Sr 0.000 0.500 0.281
Sr3 Sr 0.500 0.000 0.481
Sr4 Sr 0.500 0.500 0.789
Li1 Li 0.000 0.000 0.704
Li2 Li 0.000 0.500 0.573
Li3 Li 0.500 0.500 0.081
Tl1 Tl 0.500 0.000 0.206
# Crystal system: orthorhombic
# N(E_F) in states/eV/atom: 0.840
# Total magnetization in μB per formula unit: 0.00
# Energy in eV/atom: -1.952

(6)
# SrLi4Tl7, optimized geometry, DFT GGA-PBE
data_SrLi4Tl7
_chemical_formula_sum 'Sr2 Li8 Tl14'
_cell_length_a 13.029
_cell_length_b 5.996
_cell_length_c 10.258
_cell_angle_alpha 90.00
_cell_angle_beta 125.12
_cell_angle_gamma 90.00
_space_group_name_H-M_alt 'C 1 2/m 1'
_space_group_IT_number 12
loop_
_space_group_symop_operation_xyz
'x,y,z'
'-x,-y,-z'
'-x,y,-z'
'x,-y,z'
'x+1/2,y+1/2,z'
'-x+1/2,-y+1/2,-z'
'-x+1/2,y+1/2,-z'
'x+1/2,-y+1/2,z'
loop_
_atom_site_label
_atom_site_type_symbol
_atom_site_fract_x
_atom_site_fract_y
_atom_site_fract_z
Sr1 Sr 0.000 0.000 0.000
Li1 Li 0.064 0.500 0.775
Li2 Li 0.192 0.500 0.329
Tl1 Tl 0.000 0.500 0.000
Tl2 Tl 0.061 0.000 0.397
Tl3 Tl 0.177 0.500 0.611
Tl4 Tl 0.219 0.000 0.892
# Crystal system: monoclinic
# N(E_F) in states/eV/atom: 0.493
# Total magnetization in μB per formula unit: 0.00
# Energy in eV/atom: -2.242

(7)
# Sr6Li15Tl8, optimized geometry, DFT GGA-PBE
data_Sr6Li15Tl8
_chemical_formula_sum 'Sr24 Li60 Tl32'
_cell_length_a 14.494
_cell_length_b 14.494
_cell_length_c 14.494
_cell_angle_alpha 90.00
_cell_angle_beta 90.00
_cell_angle_gamma 90.00
_space_group_name_H-M_alt 'F m -3 m'
_space_group_IT_number 225
_space_group_name_Hall '-F 4 2 3'
loop_
_atom_site_label
_atom_site_type_symbol
_atom_site_fract_x
_atom_site_fract_y
_atom_site_fract_z
Sr1 Sr 0.000 0.000 0.217
Li1 Li 0.000 0.000 0.500
Li2 Li 0.000 0.250 0.250
Li3 Li 0.177 0.177 0.177
Tl1 Tl 0.128 0.128 0.372
# Crystal system: cubic
# N(E_F) in states/eV/atom: 0.565
# Total magnetization in μB per formula unit: 0.00
# Energy in eV/atom: -2.204

(8)
# Sr4LiTl5, optimized geometry, DFT GGA-PBE
data_Sr4LiTl5
_chemical_formula_sum 'Sr4 Li1 Tl5'
_cell_length_a 3.985
_cell_length_b 3.985
_cell_length_c 20.223
_cell_angle_alpha 90.00
_cell_angle_beta 90.00
_cell_angle_gamma 90.00
_space_group_name_H-M_alt 'P 4/m m m'
_space_group_IT_number 123
_space_group_name_Hall '-P 4 2'
loop_
_atom_site_label
_atom_site_type_symbol
_atom_site_fract_x
_atom_site_fract_y
_atom_site_fract_z
Sr1 Sr 0.000 0.000 0.105
Sr2 Sr 0.000 0.000 0.314
Li1 Li 0.000 0.000 0.500
Tl1 Tl 0.500 0.500 0.000
Tl2 Tl 0.500 0.500 0.208
Tl3 Tl 0.500 0.500 0.421
# Crystal system: tetragonal
# N(E_F) in states/eV/atom: 0.512
# Total magnetization in μB per formula unit: 0.00
# Energy in eV/atom: -2.413

(9)
# SrLi3Tl3, optimized geometry, DFT GGA-PBE
data_SrLi3Tl3
_chemical_formula_sum 'Sr2 Li6 Tl6'
_cell_length_a 7.400
_cell_length_b 7.400
_cell_length_c 7.400
_cell_angle_alpha 90.00
_cell_angle_beta 90.00
_cell_angle_gamma 90.00
_space_group_name_H-M_alt 'P m -3 n'
_space_group_IT_number 223
_space_group_name_Hall '-P 4n 2 3'
loop_
_atom_site_label
_atom_site_type_symbol
_atom_site_fract_x
_atom_site_fract_y
_atom_site_fract_z
Sr1 Sr 0.000 0.000 0.000
Li1 Li 0.000 0.250 0.500
Tl1 Tl 0.000 0.500 0.250
# Crystal system: cubic
# N(E_F) in states/eV/atom: 0.623
# Total magnetization in μB per formula unit: 0.00
# Energy above the most stable polymorph in this dataset in meV per atom: 199

(10)
# Sr3Li3Tl, optimized geometry, DFT GGA-PBE
data_Sr3Li3Tl
_chemical_formula_sum 'Sr12 Li12 Tl4'
_cell_length_a 5.100
_cell_length_b 12.056
_cell_length_c 15.211
_cell_angle_alpha 90.00
_cell_angle_beta 90.00
_cell_angle_gamma 90.00
_space_group_name_H-M_alt 'C m c m'
_space_group_IT_number 63
_space_group_name_Hall '-C 2c 2'
loop_
_atom_site_label
_atom_site_type_symbol
_atom_site_fract_x
_atom_site_fract_y
_atom_site_fract_z
Sr1 Sr 0.000 0.019 0.250
Sr2 Sr 0.000 0.275 0.601
Li1 Li 0.000 0.317 0.250
Li2 Li 0.000 0.444 0.085
Tl1 Tl 0.000 0.000 0.000
# Crystal system: orthorhombic
# N(E_F) in states/eV/atom: 0.761
# Total magnetization in μB per formula unit: 0.00
# Energy in eV/atom: -1.997

(11)
# Sr4Li2Tl, optimized geometry, DFT GGA-PBE
data_Sr4Li2Tl
_chemical_formula_sum 'Sr12 Li6 Tl3'
_cell_length_a 5.8364
_cell_length_b 5.8364
_cell_length_c 28.3068
_cell_angle_alpha 90.00
_cell_angle_beta 90.00
_cell_angle_gamma 120.00
_space_group_name_H-M_alt 'R -3 m'
_space_group_IT_number 166
_space_group_name_Hall '-R 3 2"'
loop_
_atom_site_label
_atom_site_type_symbol
_atom_site_fract_x
_atom_site_fract_y
_atom_site_fract_z
Sr1 Sr 0.0000 0.0000 0.1239
Sr2 Sr 0.0000 0.0000 0.3749
Li1 Li 0.0000 0.0000 0.2444
Tl1 Tl 0.0000 0.0000 0.5000
# Crystal system: trigonal
# N(E_F) in states/eV/atom: 0.974
# Total magnetization in μB per formula unit: 0.00
# Energy in eV/atom: -1.910

(12)
# Sr3Li5Tl2, optimized geometry, DFT GGA-PBE
data_Sr3Li5Tl2
_chemical_formula_sum 'Sr6 Li10 Tl4'
_cell_length_a 11.504
_cell_length_b 11.504
_cell_length_c 4.564
_cell_angle_alpha 90.00
_cell_angle_beta 90.00
_cell_angle_gamma 90.00
_space_group_name_H-M_alt 'P 4/m b m'
_space_group_IT_number 127
_space_group_name_Hall '-P 4 2ab'
loop_
_atom_site_label
_atom_site_type_symbol
_atom_site_fract_x
_atom_site_fract_y
_atom_site_fract_z
Sr1 Sr 0.000 0.000 0.000
Sr2 Sr 0.181 0.319 0.000
Li1 Li 0.000 0.500 0.500
Li2 Li 0.067 0.764 0.500
Tl1 Tl 0.111 0.611 0.000
# Crystal system: tetragonal
# N(E_F) in states/eV/atom: 0.674
# Total magnetization in μB per formula unit: 0.00
# Energy in eV/atom: -2.099

(13)
# Sr2LiTl7, optimized geometry, DFT GGA-PBE
data_Sr2LiTl7
_chemical_formula_sum 'Sr8 Li4 Tl28'
_cell_length_a 11.070
_cell_length_b 11.070
_cell_length_c 11.070
_cell_angle_alpha 90.00
_cell_angle_beta 90.00
_cell_angle_gamma 90.00
_space_group_name_H-M_alt 'F m -3 m'
_space_group_IT_number 225
_space_group_name_Hall '-F 4 2 3'
loop_
_atom_site_label
_atom_site_type_symbol
_atom_site_fract_x
_atom_site_fract_y
_atom_site_fract_z
Sr1 Sr 0.250 0.250 0.250
Li1 Li 0.000 0.000 0.000
Tl1 Tl 0.000 0.000 0.232
Tl2 Tl 0.000 0.000 0.500
# Crystal system: cubic
# N(E_F) in states/eV/atom: 0.339
# Total magnetization in μB per formula unit: 0.00
# Energy in eV/atom: -2.230

(14)
# Sr4LiTl3, optimized geometry, DFT GGA-PBE
data_Sr4LiTl3
_chemical_formula_sum 'Sr12 Li3 Tl9'
_cell_length_a 5.8081
_cell_length_b 5.8081
_cell_length_c 28.4558
_cell_angle_alpha 90.00
_cell_angle_beta 90.00
_cell_angle_gamma 120.00
_space_group_name_H-M_alt 'R -3 m'
_space_group_IT_number 166
_space_group_name_Hall '-R 3 2"'
loop_
_atom_site_label
_atom_site_type_symbol
_atom_site_fract_x
_atom_site_fract_y
_atom_site_fract_z
Sr1 Sr 0.0000 0.0000 0.1228
Sr2 Sr 0.0000 0.0000 0.3731
Li1 Li 0.0000 0.0000 0.5000
Tl1 Tl 0.0000 0.0000 0.0000
Tl2 Tl 0.0000 0.0000 0.2459
# Crystal system: trigonal
# N(E_F) in states/eV/atom: 0.820
# Total magnetization in μB per formula unit: 0.00
# Energy in eV/atom: -2.306

(15)
# Sr2LiTl4, optimized geometry, DFT GGA-PBE
data_Sr2LiTl4
_chemical_formula_sum 'Sr4 Li2 Tl8'
_cell_length_a 5.124
_cell_length_b 5.124
_cell_length_c 17.273
_cell_angle_alpha 90.00
_cell_angle_beta 90.00
_cell_angle_gamma 90.00
_space_group_name_H-M_alt 'I 4/m m m'
_space_group_IT_number 139
_space_group_name_Hall '-I 4 2'
loop_
_atom_site_label
_atom_site_type_symbol
_atom_site_fract_x
_atom_site_fract_y
_atom_site_fract_z
Sr1 Sr 0.000 0.000 0.146
Li1 Li 0.000 0.000 0.500
Tl1 Tl 0.000 0.000 0.342
Tl2 Tl 0.000 0.500 0.000
# Crystal system: tetragonal
# N(E_F) in states/eV/atom: 0.628
# Total magnetization in μB per formula unit: 0.00
# Energy above the most stable polymorph in this dataset in meV per atom: 12

(16)
# SrLiTl2, optimized geometry, DFT GGA-PBE
data_SrLiTl2
_chemical_formula_sum 'Sr2 Li2 Tl4'
_cell_length_a 7.658
_cell_length_b 7.626
_cell_length_c 4.054
_cell_angle_alpha 90.00
_cell_angle_beta 90.25
_cell_angle_gamma 90.00
_space_group_name_H-M_alt 'C 1 2/m 1'
_space_group_IT_number 12
loop_
_space_group_symop_operation_xyz
'x,y,z'
'-x,-y,-z'
'-x,y,-z'
'x,-y,z'
'x+1/2,y+1/2,z'
'-x+1/2,-y+1/2,-z'
'-x+1/2,y+1/2,-z'
'x+1/2,-y+1/2,z'
loop_
_atom_site_label
_atom_site_type_symbol
_atom_site_fract_x
_atom_site_fract_y
_atom_site_fract_z
Sr1 Sr 0.000 0.000 0.000
Li1 Li 0.000 0.500 0.000
Tl1 Tl 0.250 0.250 0.500
# Crystal system: monoclinic
# N(E_F) in states/eV/atom: 0.484
# Total magnetization in μB per formula unit: 0.00
# Energy in eV/atom: -2.324

(17)
# Sr3LiTl2, optimized geometry, DFT GGA-PBE
data_Sr3LiTl2
_chemical_formula_sum 'Sr6 Li2 Tl4'
_cell_length_a 5.8099
_cell_length_b 5.8099
_cell_length_c 14.2158
_cell_angle_alpha 90.00
_cell_angle_beta 90.00
_cell_angle_gamma 120.00
_space_group_name_H-M_alt 'P -3 m 1'
_space_group_IT_number 164
_space_group_name_Hall '-P 3 2"'
loop_
_atom_site_label
_atom_site_type_symbol
_atom_site_fract_x
_atom_site_fract_y
_atom_site_fract_z
Sr1 Sr 0.0000 0.0000 0.2469
Sr2 Sr 0.3333 0.6667 0.4186
Sr3 Sr 0.3333 0.6667 0.9208
Li1 Li 0.3333 0.6667 0.6695
Tl1 Tl 0.0000 0.0000 0.0000
Tl2 Tl 0.0000 0.0000 0.5000
Tl3 Tl 0.3333 0.6667 0.1735
# Crystal system: trigonal
# N(E_F) in states/eV/atom: 0.991
# Total magnetization in μB per formula unit: 0.00
# Energy above the most stable polymorph in this dataset in meV per atom: 0

(18)
# SrLiTl2, optimized geometry, DFT GGA-PBE
data_SrLiTl2
_chemical_formula_sum 'Sr4 Li4 Tl8'
_cell_length_a 4.425
_cell_length_b 12.408
_cell_length_c 8.170
_cell_angle_alpha 90.00
_cell_angle_beta 90.00
_cell_angle_gamma 90.00
_space_group_name_H-M_alt 'C m c m'
_space_group_IT_number 63
_space_group_name_Hall '-C 2c 2'
loop_
_atom_site_label
_atom_site_type_symbol
_atom_site_fract_x
_atom_site_fract_y
_atom_site_fract_z
Sr1 Sr 0.000 0.051 0.250
Li1 Li 0.000 0.229 0.750
Tl1 Tl 0.000 0.351 0.050
# Crystal system: orthorhombic
# N(E_F) in states/eV/atom: 0.350
# Total magnetization in μB per formula unit: 0.00
# Energy in eV/atom: -2.401

(19)
# Sr2LiTl2, optimized geometry, DFT GGA-PBE
data_Sr2LiTl2
_chemical_formula_sum 'Sr4 Li2 Tl4'
_cell_length_a 4.876
_cell_length_b 6.621
_cell_length_c 10.373
_cell_angle_alpha 90.00
_cell_angle_beta 90.00
_cell_angle_gamma 90.00
_space_group_name_H-M_alt 'I m m m'
_space_group_IT_number 71
_space_group_name_Hall '-I 2 2'
loop_
_atom_site_label
_atom_site_type_symbol
_atom_site_fract_x
_atom_site_fract_y
_atom_site_fract_z
Sr1 Sr 0.000 0.000 0.196
Li1 Li 0.000 0.500 0.000
Tl1 Tl 0.000 0.250 0.500
# Crystal system: orthorhombic
# N(E_F) in states/eV/atom: 0.699
# Total magnetization in μB per formula unit: 0.00
# Energy above the most stable polymorph in this dataset in meV per atom: 10

(20)
# SrLiTl2, optimized geometry, DFT GGA-PBE
data_SrLiTl2
_chemical_formula_sum 'Sr4 Li4 Tl8'
_cell_length_a 7.703
_cell_length_b 7.703
_cell_length_c 7.703
_cell_angle_alpha 90.00
_cell_angle_beta 90.00
_cell_angle_gamma 90.00
_space_group_name_H-M_alt 'F -4 3 m'
_space_group_IT_number 216
_space_group_name_Hall 'F -4 2 3'
loop_
_atom_site_label
_atom_site_type_symbol
_atom_site_fract_x
_atom_site_fract_y
_atom_site_fract_z
Sr1 Sr 0.000 0.000 0.000
Li1 Li 0.250 0.250 0.750
Tl1 Tl 0.000 0.000 0.500
Tl2 Tl 0.250 0.250 0.250
# Crystal system: cubic
# N(E_F) in states/eV/atom: 0.737
# Total magnetization in μB per formula unit: 0.00
# Energy in eV/atom: -2.300